Here is crystalline TaBe2Os at its relaxed geometry from Alexandria. Energies are from PBE.

Cell lengths 3.170, 4.172, 3.912 Å; angles 90.00, 90.00, 90.00 degrees
Fractional coordinates of all 4 atoms:
1 Be 0.000 0.000 0.000
2 Ta 0.000 0.500 0.500
3 Os 0.500 0.000 0.500
4 Be 0.500 0.500 0.000

density of states at the Fermi level = 0.280 states/eV per atom
total magnetization = 0.0 μB per cell
ΔE_f = -25 meV per atom
excess energy over the best structure of this formula in the dataset = 0.2752 eV per atom



Here is crystalline Ba2PSe at its relaxed geometry from Alexandria. Energies are from PBE.

Cell lengths 5.529, 5.529, 5.529 Å; angles 60.00, 60.00, 60.00 degrees
Fractional coordinates of all 4 atoms:
1 Ba 0.000 0.000 0.000
2 Ba 0.750 0.750 0.750
3 P 0.500 0.500 0.500
4 Se 0.250 0.250 0.250

density of states at the Fermi level = 1.214 states/eV per atom
total magnetization = 0.0 μB per cell
raw formation energy = -0.49 eV per atom
excess energy over the best structure of this formula in the dataset = 0.8201 eV per atom



Here is crystalline AcPrPPt at its relaxed geometry from Alexandria. Energies are from PBE.

Cell lengths 5.246, 5.246, 5.246 Å; angles 60.00, 60.00, 60.00 degrees
Each line ends with the local moment (μB).
Fractional coordinates of all 4 atoms:
1 P 0.000 0.000 0.000  -0.01
2 Pt 0.500 0.500 0.500  0.01
3 Ac 0.250 0.250 0.250  0.05
4 Pr 0.750 0.750 0.750  0.10

density of states at the Fermi level = 1.004 states/eV per atom
total magnetization = 0.3 μB per cell
ΔE_f = -943 meV per atom



Here is crystalline BeBIr2 at its relaxed geometry from Alexandria. Energies are from PBE.

Cell lengths 2.799, 2.799, 6.845 Å; angles 78.20, 78.20, 60.00 degrees
Fractional coordinates of all 4 atoms:
1 Ir 0.257 0.257 0.229
2 B 0.666 0.666 0.001
3 Be 0.501 0.501 0.498
4 Ir 0.076 0.076 0.772

density of states at the Fermi level = 0.422 states/eV per atom
total magnetization = 0.0 μB per cell
ΔE_f = -193 meV per atom
excess energy over the best structure of this formula in the dataset = 0.1236 eV per atom



Here is crystalline LiSnTe4Pb2 at its relaxed geometry from Alexandria. Energies are from PBE.

Cell lengths 4.473, 7.704, 7.766 Å; angles 71.47, 90.00, 90.00 degrees
Fractional coordinates of all 8 atoms:
1 Te 0.000 0.269 0.252
2 Pb 0.500 0.000 0.500
3 Te 0.500 0.730 0.259
4 Sn 0.500 0.500 0.000
5 Te 0.500 0.270 0.741
6 Te 0.000 0.731 0.748
7 Pb 0.000 0.000 0.000
8 Li 0.000 0.500 0.500

density of states at the Fermi level = 0.536 states/eV per atom
total magnetization = 0.0 μB per cell
raw formation energy = -0.42 eV per atom



Here is crystalline ReSnOF2 at its relaxed geometry from Alexandria. Energies are from PBE.

Cell lengths 4.581, 4.581, 4.167 Å; angles 90.00, 90.00, 90.00 degrees
Each line ends with the local moment (μB).
Fractional coordinates of all 5 atoms:
1 F 0.500 0.000 0.000  0.07
2 F 0.000 0.500 0.000  0.07
3 O 0.000 0.000 0.500  0.13
4 Sn 0.000 0.000 0.000  -0.01
5 Re 0.500 0.500 0.500  4.48

density of states at the Fermi level = 0.143 states/eV per atom
total magnetization = 5.9 μB per cell
raw formation energy = -0.21 eV per atom
excess energy over the best structure of this formula in the dataset = 0.6512 eV per atom



Here is crystalline Sr2HgW at its relaxed geometry from Alexandria. Energies are from PBE.

Cell lengths 5.591, 5.591, 3.815 Å; angles 90.00, 90.00, 90.00 degrees
Each line ends with the local moment (μB).
Fractional coordinates of all 4 atoms:
1 Sr 0.000 0.000 0.000  0.05
2 Sr 0.500 0.500 0.000  0.05
3 W 0.500 0.000 0.500  2.37
4 Hg 0.000 0.500 0.500  0.00

density of states at the Fermi level = 0.779 states/eV per atom
total magnetization = 3.5 μB per cell
ΔE_f = 768 meV per atom



Here is crystalline NdZn3Pt at its relaxed geometry from Alexandria. Energies are from PBE.

Cell lengths 5.758, 6.484, 5.766 Å; angles 116.40, 90.00, 90.00 degrees
Fractional coordinates of all 10 atoms:
1 Nd 0.250 0.502 0.751
2 Nd 0.750 0.498 0.249
3 Zn 0.250 0.265 0.133
4 Zn 0.750 0.735 0.867
5 Zn 0.000 0.000 0.742
6 Zn 0.500 0.000 0.742
7 Zn 0.000 0.000 0.258
8 Zn 0.500 0.000 0.258
9 Pt 0.750 0.295 0.648
10 Pt 0.250 0.705 0.352

density of states at the Fermi level = 0.715 states/eV per atom
total magnetization = 0.0 μB per cell
ΔE_f = -554 meV per atom